Entry 1:
Computed, not measured: an optimized crystal structure of Li3SiF at the GGA-PBEsol level of DFT. Values from VASP.

Structure (Quantum ESPRESSO input):
```
&SYSTEM
  ibrav = 0, nat = 5, ntyp = 3
/
ATOMIC_SPECIES
Li 6.94 Li.upf
F 19.00 F.upf
Si 28.09 Si.upf
ATOMIC_POSITIONS crystal
Li 0.500 0.000 0.000
Li 0.000 0.000 0.500
Li 0.000 0.500 0.000
F 0.000 0.000 0.000
Si 0.500 0.500 0.500
CELL_PARAMETERS angstrom
-0.088 -3.329 2.133
2.669 -1.624 -2.425
2.917 1.386 2.283
```

## Properties
- D(E_F): 0.276 states/eV per atom
- M_tot: 0.00 μB per atom
- Calculated total energy: -3.83 eV per atom
- E_form (uncorrected): -1.116 eV per atom
- SG: Pm-3m (221)

---

Entry 2:
Computed, not measured: an optimized crystal structure of LiSi2F at the GGA-PBEsol level of DFT. Values from VASP.

Structure (Quantum ESPRESSO input):
```
&SYSTEM
  ibrav = 0, nat = 8, ntyp = 3
/
ATOMIC_SPECIES
Li 6.94 Li.upf
F 19.00 F.upf
Si 28.09 Si.upf
ATOMIC_POSITIONS crystal
Li 0.500 0.500 0.000
Li 0.750 0.250 0.500
F 0.000 0.000 0.000
F 0.250 0.750 0.500
Si 0.125 0.129 0.750
Si 0.871 0.375 0.250
Si 0.379 0.875 0.250
Si 0.625 0.621 0.750
CELL_PARAMETERS angstrom
-2.525 1.627 1.348
1.284 -0.486 2.992
6.611 9.501 -3.103
```

## Properties
- D(E_F): 0.272 states/eV per atom
- M_tot: 0.00 μB per atom
- Calculated total energy: -4.61 eV per atom
- E_form (uncorrected): -0.763 eV per atom
- SG: I-42d (122)

---

Entry 3:
Computed, not measured: an optimized crystal structure of Li2SiF6 at the GGA-PBEsol level of DFT. Values from VASP.

Structure (Quantum ESPRESSO input):
```
&SYSTEM
  ibrav = 0, nat = 27, ntyp = 3
/
ATOMIC_SPECIES
F 19.00 F.upf
Si 28.09 Si.upf
Li 6.94 Li.upf
ATOMIC_POSITIONS crystal
F 0.787 0.198 0.104
F 0.787 0.906 0.802
F 0.298 0.775 0.531
F 0.702 0.244 0.469
F 0.272 0.417 0.863
F 0.272 0.137 0.554
F 0.702 0.531 0.775
F 0.728 0.863 0.417
F 0.728 0.554 0.137
F 0.213 0.802 0.906
F 0.272 0.446 0.583
F 0.298 0.756 0.225
F 0.213 0.104 0.198
F 0.787 0.896 0.094
F 0.298 0.469 0.244
F 0.702 0.225 0.756
F 0.728 0.583 0.446
F 0.213 0.094 0.896
Si 0.513 0.667 0.333
Si 0.000 0.000 0.000
Si 0.487 0.333 0.667
Li 0.000 0.000 0.632
Li 0.000 0.368 0.368
Li 0.500 0.296 0.000
Li 0.500 0.704 0.704
Li 0.500 0.000 0.296
Li 0.000 0.632 0.000
CELL_PARAMETERS angstrom
4.525 0.000 0.000
0.000 8.190 0.000
0.000 -4.095 7.093
```

## Properties
- D(E_F): 0.000 states/eV per atom
- M_tot: 0.00 μB per atom
- Calculated total energy: -5.53 eV per atom
- E_form (uncorrected): -3.173 eV per atom
- SG: P321 (150)

---

Entry 4:
Computed, not measured: an optimized crystal structure of LiSn3F at the GGA-PBEsol level of DFT. Values from VASP.

Structure (Quantum ESPRESSO input):
```
&SYSTEM
  ibrav = 0, nat = 5, ntyp = 3
/
ATOMIC_SPECIES
Li 6.94 Li.upf
F 19.00 F.upf
Sn 118.71 Sn.upf
ATOMIC_POSITIONS crystal
Li 0.500 0.500 0.500
F 0.000 0.000 0.000
Sn 0.000 0.500 0.000
Sn 0.500 0.000 0.000
Sn 0.000 0.000 0.500
CELL_PARAMETERS angstrom
4.887 0.000 0.000
0.000 4.887 0.000
0.000 0.000 4.887
```

## Properties
- D(E_F): 0.370 states/eV per atom
- M_tot: 0.00 μB per atom
- Calculated total energy: -3.78 eV per atom
- E_form (uncorrected): -0.445 eV per atom
- SG: Pm-3m (221)

---

Entry 5:
Computed, not measured: an optimized crystal structure of Sr2LiF2 at the GGA-PBEsol level of DFT. Values from VASP.

Structure (Quantum ESPRESSO input):
```
&SYSTEM
  ibrav = 0, nat = 5, ntyp = 3
/
ATOMIC_SPECIES
Sr 87.62 Sr.upf
F 19.00 F.upf
Li 6.94 Li.upf
ATOMIC_POSITIONS crystal
Sr 0.655 0.655 0.310
Sr 0.345 0.345 0.690
F 0.750 0.250 0.500
F 0.250 0.750 0.500
Li 0.000 0.000 0.000
CELL_PARAMETERS angstrom
4.162 0.000 0.000
0.000 4.162 0.000
-2.081 -2.081 7.177
```

## Properties
- D(E_F): 0.435 states/eV per atom
- M_tot: 0.00 μB per atom
- Calculated total energy: -4.20 eV per atom
- E_form (uncorrected): -2.296 eV per atom
- SG: I4/mmm (139)

---

Entry 6:
Computed, not measured: an optimized crystal structure of SrLiVF6 at the GGA-PBEsol level of DFT. Values from VASP.

Structure (Quantum ESPRESSO input):
```
&SYSTEM
  ibrav = 0, nat = 18, ntyp = 4
/
ATOMIC_SPECIES
F 19.00 F.upf
Sr 87.62 Sr.upf
V 50.94 V.upf
Li 6.94 Li.upf
ATOMIC_POSITIONS crystal
F 0.013 0.372 0.145
F 0.359 0.372 0.355
F 0.641 0.013 0.855
F 0.987 0.628 0.855
F 0.641 0.628 0.645
F 0.628 0.987 0.355
F 0.372 0.359 0.855
F 0.628 0.641 0.145
F 0.987 0.359 0.645
F 0.372 0.013 0.645
F 0.359 0.987 0.145
F 0.013 0.641 0.355
Sr 0.000 0.000 0.000
Sr 0.000 0.000 0.500
V 0.333 0.667 0.250
V 0.667 0.333 0.750
Li 0.333 0.667 0.750
Li 0.667 0.333 0.250
CELL_PARAMETERS angstrom
5.180 0.000 0.000
-2.590 4.486 0.000
0.000 0.000 10.397
```

## Properties
- D(E_F): 1.269 states/eV per atom
- M_tot: 0.22 μB per atom
- Calculated total energy: -6.03 eV per atom
- E_form (uncorrected): -3.252 eV per atom
- SG: P-31c (163)

---

Entry 7:
Computed, not measured: an optimized crystal structure of Li2TbF6 at the GGA-PBEsol level of DFT. Values from VASP.

Structure (Quantum ESPRESSO input):
```
&SYSTEM
  ibrav = 0, nat = 36, ntyp = 3
/
ATOMIC_SPECIES
F 19.00 F.upf
Li 6.94 Li.upf
Tb 158.93 Tb.upf
ATOMIC_POSITIONS crystal
F 0.663 0.116 0.817
F 0.780 0.756 0.330
F 0.547 0.698 0.551
F 0.346 0.611 0.336
F 0.047 0.302 0.949
F 0.562 0.467 0.895
F 0.062 0.533 0.605
F 0.740 0.023 0.059
F 0.953 0.698 0.051
F 0.220 0.244 0.670
F 0.154 0.611 0.836
F 0.240 0.977 0.441
F 0.654 0.389 0.664
F 0.453 0.302 0.449
F 0.938 0.467 0.395
F 0.438 0.533 0.105
F 0.280 0.244 0.170
F 0.760 0.023 0.559
F 0.720 0.756 0.830
F 0.163 0.884 0.683
F 0.337 0.884 0.183
F 0.260 0.977 0.941
F 0.846 0.389 0.164
F 0.837 0.116 0.317
Li 0.525 0.949 0.322
Li 0.065 0.627 0.195
Li 0.475 0.051 0.678
Li 0.975 0.949 0.822
Li 0.025 0.051 0.178
Li 0.565 0.373 0.305
Li 0.935 0.373 0.805
Li 0.435 0.627 0.695
Tb 0.965 0.250 0.498
Tb 0.465 0.750 0.002
Tb 0.035 0.750 0.502
Tb 0.535 0.250 0.998
CELL_PARAMETERS angstrom
4.241 0.000 0.000
0.000 7.746 0.011
0.000 -3.010 11.726
```

## Properties
- D(E_F): 0.001 states/eV per atom
- M_tot: 0.12 μB per atom
- Calculated total energy: -5.41 eV per atom
- E_form (uncorrected): -3.127 eV per atom
- SG: P2_1/c (14)

---

Entry 8:
Computed, not measured: an optimized crystal structure of LiTc2F at the GGA-PBEsol level of DFT. Values from VASP.

Structure (Quantum ESPRESSO input):
```
&SYSTEM
  ibrav = 0, nat = 4, ntyp = 3
/
ATOMIC_SPECIES
F 19.00 F.upf
Tc 98.00 Tc.upf
Li 6.94 Li.upf
ATOMIC_POSITIONS crystal
F 0.500 0.500 0.500
Tc 0.250 0.250 0.250
Tc 0.750 0.750 0.750
Li 0.000 0.000 0.000
CELL_PARAMETERS angstrom
4.043 0.000 0.000
2.021 3.501 0.000
2.021 1.167 3.301
```

## Properties
- Energy above the lowest structure with this stoichiometry: 0.7125 eV per atom
- D(E_F): 1.124 states/eV per atom
- M_tot: 0.00 μB per atom
- Calculated total energy: -5.81 eV per atom
- E_form (uncorrected): 0.797 eV per atom
- SG: Fm-3m (225)